# meta-GGA SCAN ReBPS2, PBEsol geometry
data_ReBPS2
_chemical_formula_sum 'Re1 B1 P1 S2'
_symmetry_space_group_name_H-M 'P 4/m m m'
_symmetry_Int_Tables_number 123
_symmetry_space_group_name_Hall '-P 4 2'
_cell_length_a 4.5461
_cell_length_b 4.5461
_cell_length_c 4.6526
_cell_angle_alpha 90.00
_cell_angle_beta 90.00
_cell_angle_gamma 90.00
loop_
_atom_site_label
_atom_site_type_symbol
_atom_site_fract_x
_atom_site_fract_y
_atom_site_fract_z
Re1 Re 0.0000 0.0000 0.0000
B1 B 0.5000 0.5000 0.5000
P1 P 0.0000 0.0000 0.5000
S1 S 0.0000 0.5000 0.0000
# total energy: -101.41 eV for the cell shown
# total magnetization: 0.00 μB/f.u.
# formation energy without anion corrections: 1354 meV/atom